# Y3Ho5Tm, optimized geometry, DFT PBE-GGA
# - Total magnetic moment: 0.00 Bohr magnetons per cell
# - Formation energy: 0.173 eV/atom
# - Crystal system: monoclinic
# - Theoretical density: 7.24 g/cm3
# - E above lowest polymorph: 116.5 meV per atom
# - E_tot: -180.8 eV per cell
# - DOS at the Fermi energy: 55.40 states/eV/cell
data_Y3Ho5Tm
_symmetry_space_group_name_H-M 'C 1 2/c 1'
_symmetry_Int_Tables_number 15
_symmetry_space_group_name_Hall '-C 2yc'
_cell_length_a 16.205
_cell_length_b 6.673
_cell_length_c 11.295
_cell_angle_alpha 90.00
_cell_angle_beta 108.73
_cell_angle_gamma 90.00
loop_
_atom_site_label
_atom_site_fract_x
_atom_site_fract_y
_atom_site_fract_z
_atom_site_occupancy
Y1 0.000 0.000 0.000 1
Y2 0.236 0.375 0.353 1
Ho1 0.000 0.318 0.750 1
Ho2 0.107 0.494 0.544 1
Ho3 0.176 0.120 0.876 1
Tm1 0.000 0.226 0.250 1